# 1
Here is a relaxed structure of CsNdHgSe3 from OQMD via LeMat-Bulk. Energies are from PBE.

a b c (Å): 8.460 8.460 11.304
angles (deg): 90.00 90.00 150.22
Sites, in units of the cell vectors:
1 Cs 0.247 0.753 0.750
2 Cs 0.753 0.247 0.250
3 Nd 0.500 0.500 0.000
4 Nd 0.500 0.500 0.500
5 Hg 0.039 0.961 0.250
6 Hg 0.961 0.039 0.750
7 Se 0.122 0.878 0.049
8 Se 0.122 0.878 0.451
9 Se 0.434 0.566 0.250
10 Se 0.566 0.434 0.750
11 Se 0.878 0.122 0.549
12 Se 0.878 0.122 0.951

Summary:
size of the total moment: 0.01 μB per cell
crystal system: orthorhombic
space-group type: Cmcm, No. 63
DFT total energy: -0.1460 hartree per atom
volume: 33.48 Å³ per atom



# 2
Here is a relaxed structure of ErCl from OQMD via LeMat-Bulk. Energies are from PBE.

a b c (Å): 3.443 3.443 4.330
angles (deg): 90.00 90.00 120.00
Sites, in units of the cell vectors:
1 Er 0.000 0.000 0.000
2 Cl 0.333 0.667 0.500

Summary:
size of the total moment: 0.00 μB per cell
crystal system: hexagonal
space-group type: P-6m2, No. 187
DFT total energy: -0.1627 hartree per atom
volume: 22.23 Å³ per atom



# 3
Here is a relaxed structure of Li2TbBe5 from OQMD via LeMat-Bulk. Energies are from PBE.

a b c (Å): 4.213 4.213 7.910
angles (deg): 90.00 90.00 90.00
Sites, in units of the cell vectors:
1 Li 0.000 0.000 0.175
2 Li 0.000 0.000 0.825
3 Tb 0.500 0.500 0.500
4 Be 0.000 0.000 0.500
5 Be 0.000 0.500 0.322
6 Be 0.000 0.500 0.678
7 Be 0.500 0.000 0.322
8 Be 0.500 0.000 0.678

Summary:
size of the total moment: 0.02 μB per cell
crystal system: tetragonal
space-group type: P4/mmm, No. 123
DFT total energy: -0.0985 hartree per atom
volume: 17.55 Å³ per atom



# 4
Here is a relaxed structure of PrSbIr from OQMD via LeMat-Bulk. Energies are from PBE.

a b c (Å): 8.489 8.489 3.364
angles (deg): 90.00 90.00 120.00
Sites, in units of the cell vectors:
1 Pr 0.000 0.301 0.000
2 Pr 0.301 0.000 0.000
3 Pr 0.699 0.699 0.000
4 Sb 0.000 0.000 0.500
5 Sb 0.333 0.667 0.000
6 Sb 0.667 0.333 0.000
7 Ir 0.000 0.658 0.500
8 Ir 0.342 0.342 0.500
9 Ir 0.658 0.000 0.500

Summary:
size of the total moment: 0.00 μB per cell
crystal system: hexagonal
space-group type: P-62m, No. 189
DFT total energy: -0.2206 hartree per atom
volume: 23.32 Å³ per atom



What did the second record say?
Here is a relaxed structure of ErCl from OQMD via LeMat-Bulk. Energies are from PBE.

a b c (Å): 3.443 3.443 4.330
angles (deg): 90.00 90.00 120.00
Sites, in units of the cell vectors:
1 Er 0.000 0.000 0.000
2 Cl 0.333 0.667 0.500

Summary:
size of the total moment: 0.00 μB per cell
crystal system: hexagonal
space-group type: P-6m2, No. 187
DFT total energy: -0.1627 hartree per atom
volume: 22.23 Å³ per atom